Record 1
Material: Cd2AsPt
Method: DFT, PBE
State: relaxed

```
Cd2AsPt
1.0
3.4424 0.0000 0.0000
0.0000 3.4424 0.0000
0.0000 0.0000 6.7788
Cd As Pt
2 1 1
direct
0.0000 0.0000 0.0000
0.5000 0.5000 0.2683
0.5000 0.5000 0.6921
0.0000 0.0000 0.5550
```

Summary:
**Formation energy from the elements**: -0.08 eV/atom
**Total moment**: 0.00 Bohr magnetons per cell
**Space group**: P4mm
**Final energy**: -3.206 eV/atom

---

Record 2
Material: MnHgPd3
Method: DFT, PBE
State: relaxed

```
MnHgPd3
1.0
4.9828 0.0000 0.0000
0.0000 4.9828 0.0000
0.0000 0.0000 4.9828
Mn Hg Pd
1 1 3
direct
0.0000 0.0000 0.0000
0.5000 0.5000 0.5000
0.0000 0.5000 0.5000
0.5000 0.0000 0.5000
0.5000 0.5000 0.0000
```

Summary:
**Formation energy from the elements**: 1.65 eV/atom
**Offset from the most stable computed form**: 1820 meV per atom
**Total moment**: 0.73 Bohr magnetons per cell
**Space group**: Pm-3m
**Final energy**: -3.359 eV/atom

---

Q: What is the total moment in the first record?
A: 0.00 Bohr magnetons per cell